Computed, not measured: crystalline CaY2VO6 at its relaxed geometry at the PBE+U level of DFT.

Calculated total energy ... -0.3000 hartree per atom
Density of states at the Fermi level ... 0.0 states/eV/f.u.
Space-group type ... P1 (1)

Cell lengths 5.641, 5.593, 5.930 Å; angles 61.09, 61.03, 60.38 degrees
Last column: magnetic moment on the atom in μB.
Fractional positions:
1 Ca 0.805 0.802 0.584  0.00
2 Y 0.532 0.524 0.412  0.01
3 Y 0.018 0.025 0.927  0.00
4 V 0.320 0.316 0.044  1.01
5 O 0.581 0.213 0.243  0.00
6 O 0.218 0.977 0.238  -0.04
7 O 0.964 0.581 0.246  0.00
8 O 0.410 0.674 0.780  -0.02
9 O 0.683 0.134 0.768  0.00
10 O 0.131 0.416 0.773  0.00